Compound: Ho4CuSb
Source: Alexandria
Functional: GGA-PBE
Structure: optimized geometry

Uncorrected formation energy ... -230 meV/atom
Space-group type ... P2_1/c, No. 14

Cell: 7.1136 7.1361 6.9946 Å, 90.00 92.83 90.00°
Fractional coordinates of all 12 atoms:
Ho1 0.1427 0.1658 0.1803
Ho2 0.1427 0.3342 0.6803
Ho3 0.3284 0.6454 0.1292
Ho4 0.3284 0.8546 0.6292
Ho5 0.6716 0.1454 0.3708
Ho6 0.6716 0.3546 0.8708
Ho7 0.8573 0.6658 0.3197
Ho8 0.8573 0.8342 0.8197
Cu1 0.0000 0.0000 0.5000
Cu2 0.0000 0.5000 0.0000
Sb1 0.5000 0.0000 0.0000
Sb2 0.5000 0.5000 0.5000


Compound: CePmLu2
Source: Alexandria
Functional: GGA-PBE
Structure: optimized geometry

Energy relative to the elements ... 0.069 eV/atom
Energy above the most stable polymorph in this dataset ... 15.3 meV per atom
Space-group type ... P4/mmm, No. 123

Cell: 5.0251 5.0251 4.8579 Å, 90.00 90.00 90.00°
Fractional coordinates of all 4 atoms:
Ce1 0.0000 0.0000 0.0000
Pm1 0.5000 0.5000 0.0000
Lu1 0.0000 0.5000 0.5000
Lu2 0.5000 0.0000 0.5000


Compound: La3NdHo2
Source: Alexandria
Functional: GGA-PBE
Structure: optimized geometry

Energy relative to the elements ... 0.296 eV/atom
Energy above the most stable polymorph in this dataset ... 160.8 meV per atom
Space-group type ... Immm, No. 71

Cell: 3.5055 6.0371 19.8586 Å, 90.00 90.00 90.00°
Fractional coordinates of all 12 atoms:
La1 0.0000 0.0000 0.0000
La2 0.0000 0.5000 0.1891
La3 0.0000 0.5000 0.8109
La4 0.5000 0.0000 0.3109
La5 0.5000 0.0000 0.6891
La6 0.5000 0.5000 0.5000
Nd1 0.0000 0.5000 0.0000
Nd2 0.5000 0.0000 0.5000
Ho1 0.0000 0.5000 0.3626
Ho2 0.0000 0.5000 0.6374
Ho3 0.5000 0.0000 0.1374
Ho4 0.5000 0.0000 0.8626


Compound: Zr5Si2As2
Source: Alexandria
Functional: GGA-PBE
Structure: optimized geometry

Uncorrected formation energy ... -1042 meV/atom
Space-group type ... Cmce, No. 64

Cell: 7.7208 7.7208 7.0850 Å, 90.00 90.00 55.10°
Fractional coordinates of all 18 atoms:
Zr1 0.0000 0.0000 0.0000
Zr2 0.0319 0.6991 0.6663
Zr3 0.1991 0.5319 0.1663
Zr4 0.3009 0.9681 0.6663
Zr5 0.4681 0.8009 0.1663
Zr6 0.5000 0.5000 0.5000
Zr7 0.5319 0.1991 0.8337
Zr8 0.6991 0.0319 0.3337
Zr9 0.8009 0.4681 0.8337
Zr10 0.9681 0.3009 0.3337
Si1 0.1254 0.8746 0.3755
Si2 0.3746 0.6254 0.8755
Si3 0.6254 0.3746 0.1245
Si4 0.8746 0.1254 0.6245
As1 0.2032 0.2032 0.0000
As2 0.2968 0.2968 0.5000
As3 0.7032 0.7032 0.5000
As4 0.7968 0.7968 0.0000


Compound: LaBiPb3
Source: Alexandria
Functional: GGA-PBE
Structure: optimized geometry

Energy relative to the elements ... 0.659 eV/atom
Energy above the most stable polymorph in this dataset ... 222.9 meV per atom
Space-group type ... Pm-3m, No. 221

Cell: 6.0717 6.0717 6.0717 Å, 90.00 90.00 90.00°
Fractional coordinates of all 5 atoms:
La1 0.0000 0.0000 0.0000
Bi1 0.5000 0.5000 0.5000
Pb1 0.0000 0.0000 0.5000
Pb2 0.0000 0.5000 0.0000
Pb3 0.5000 0.0000 0.0000


Compound: Ho3Er5As8
Source: Alexandria
Functional: GGA-PBE
Structure: optimized geometry

Energy relative to the elements ... -1.523 eV/atom
Space-group type ... R-3m, No. 166

Cell: 8.1765 8.1765 8.1765 Å, 60.00 60.00 60.00°
Fractional coordinates of all 16 atoms:
Ho1 0.0000 0.5000 0.5000
Ho2 0.5000 0.0000 0.5000
Ho3 0.5000 0.5000 0.0000
Er1 0.0000 0.0000 0.0000
Er2 0.0000 0.0000 0.5000
Er3 0.0000 0.5000 0.0000
Er4 0.5000 0.0000 0.0000
Er5 0.5000 0.5000 0.5000
As1 0.2493 0.7500 0.7500
As2 0.2496 0.2496 0.2496
As3 0.2500 0.2500 0.7507
As4 0.2500 0.7507 0.2500
As5 0.7500 0.2493 0.7500
As6 0.7500 0.7500 0.2493
As7 0.7504 0.7504 0.7504
As8 0.7507 0.2500 0.2500


Compound: ZrAg2SbRh
Source: Alexandria
Functional: GGA-PBE
Structure: optimized geometry

Uncorrected formation energy ... 943 meV/atom
Energy above the most stable polymorph in this dataset ... 0.0 meV per atom
Space-group type ... P4/mmm, No. 123

Cell: 5.2732 5.2732 4.7090 Å, 90.00 90.00 90.00°
Fractional coordinates of all 5 atoms:
Zr1 0.0000 0.0000 0.0000
Ag1 0.0000 0.5000 0.0000
Ag2 0.5000 0.0000 0.0000
Sb1 0.5000 0.5000 0.5000
Rh1 0.0000 0.0000 0.5000


Compound: Ag3H3Pd5
Source: Alexandria
Functional: GGA-PBE
Structure: optimized geometry

Calculated total energy ... -0.2958 Ry/atom
Space-group type ... Amm2, No. 38

Cell: 2.8478 7.3051 7.3051 Å, 106.99 90.00 90.00°
Fractional coordinates of all 11 atoms:
Ag1 0.0000 0.0000 0.0000
Ag2 0.0000 0.2958 0.7287
Ag3 0.0000 0.7287 0.2958
H1 0.5000 0.1050 0.5916
H2 0.5000 0.3076 0.3076
H3 0.5000 0.5916 0.1050
Pd1 0.5000 0.0860 0.3509
Pd2 0.5000 0.3509 0.0860
Pd3 0.5000 0.5075 0.5075
Pd4 0.5000 0.6526 0.8965
Pd5 0.5000 0.8965 0.6526